[1]
A plane-wave DFT calculation with PBE was carried out for Pm3InPd3 after structural relaxation.

a = 5.7570 Å, b = 8.9038 Å, c = 8.9038 Å
α = 120.00°, β = 90.00°, γ = 90.00°
Positions (direct):
Pd 0.2500 0.3525 0.0373
Pd 0.7500 0.0373 0.6849
Pd 0.7500 0.6475 0.9627
Pd 0.2500 0.9627 0.3151
Pd 0.7500 0.3151 0.3525
Pd 0.2500 0.6849 0.6475
Pm 0.7500 0.9571 0.3144
Pm 0.2500 0.0429 0.6856
Pm 0.7500 0.6856 0.6426
Pm 0.2500 0.6426 0.9571
Pm 0.2500 0.3144 0.3574
Pm 0.7500 0.3574 0.0429
In 0.2500 0.6667 0.3333
In 0.7500 0.3333 0.6667



[2]
A plane-wave DFT calculation with PBE was carried out for PmIn2Pd8 after structural relaxation.

a = 4.1850 Å, b = 6.5746 Å, c = 7.6226 Å
α = 107.15°, β = 105.93°, γ = 90.00°
Positions (direct):
Pd 0.4053 0.5324 0.8107
Pd 0.1446 0.2052 0.2892
Pd 0.5947 0.4676 0.1893
Pd 0.6815 0.9159 0.3630
Pd 0.0404 0.7195 0.0808
Pd 0.3185 0.0841 0.6370
Pd 0.9596 0.2805 0.9192
Pd 0.8554 0.7948 0.7108
In 0.2199 0.6591 0.4399
In 0.7801 0.3409 0.5601
Pm 0.5000 0.0000 0.0000



[3]
A plane-wave DFT calculation with PBE was carried out for PmIn5Pd6 after structural relaxation.

a = 4.7929 Å, b = 8.1504 Å, c = 8.1504 Å
α = 119.17°, β = 107.10°, γ = 107.10°
Positions (direct):
Pd 0.7716 0.2716 0.2716
Pd 0.7388 0.9116 0.5661
Pd 0.2612 0.4339 0.0884
Pd 0.2612 0.0884 0.4339
Pd 0.7388 0.5661 0.9116
Pd 0.2284 0.7284 0.7284
Pm 0.0000 0.0000 0.0000
In 0.5000 0.5000 0.5000
In 0.5000 0.8400 0.1600
In 0.0000 0.6696 0.3304
In 0.5000 0.1600 0.8400
In 0.0000 0.3304 0.6696



[4]
A plane-wave DFT calculation with PBE was carried out for PmIn2Pd5 after structural relaxation.

a = 4.2188 Å, b = 7.3981 Å, c = 7.3981 Å
α = 46.20°, β = 73.43°, γ = 73.43°
Positions (direct):
Pd 0.3877 0.3722 0.8525
Pd 0.6123 0.6278 0.1475
Pd 0.3877 0.8525 0.3722
Pd 0.0000 0.5000 0.5000
Pd 0.6123 0.1475 0.6278
Pm 0.0000 0.0000 0.0000
In 0.7854 0.7146 0.7146
In 0.2146 0.2854 0.2854

Calculated values
- E above lowest polymorph: 0.000 eV per atom



[5]
A plane-wave DFT calculation with PBE was carried out for PmIn2Pd after structural relaxation.

a = 5.0387 Å, b = 5.0387 Å, c = 5.0387 Å
α = 60.00°, β = 60.00°, γ = 60.00°
Positions (direct):
In 0.7500 0.7500 0.7500
In 0.2500 0.2500 0.2500
Pm 0.0000 0.0000 0.0000
Pd 0.5000 0.5000 0.5000

Calculated values
- E above lowest polymorph: 0.202 eV per atom



[6]
A plane-wave DFT calculation with PBE was carried out for PmIn2Pd after structural relaxation.

a = 3.4481 Å, b = 3.4481 Å, c = 7.6423 Å
α = 90.00°, β = 90.00°, γ = 90.00°
Positions (direct):
Pd 0.5000 0.5000 0.0000
Pm 0.5000 0.5000 0.5000
In 0.0000 0.0000 0.2021
In 0.0000 0.0000 0.7979

Calculated values
- E above lowest polymorph: 0.147 eV per atom



[7]
A plane-wave DFT calculation with PBE was carried out for Pm8InPd2 after structural relaxation.

a = 5.0644 Å, b = 7.9852 Å, c = 9.1540 Å
α = 113.62°, β = 106.06°, γ = 90.00°
Positions (direct):
Pd 0.8092 0.3494 0.6184
Pd 0.1908 0.6506 0.3816
Pm 0.6826 0.9748 0.3651
Pm 0.3174 0.0252 0.6349
Pm 0.1850 0.2874 0.3701
Pm 0.9515 0.2383 0.9031
Pm 0.8150 0.7126 0.6299
Pm 0.4056 0.5343 0.8112
Pm 0.0485 0.7617 0.0969
Pm 0.5944 0.4657 0.1888
In 0.5000 0.0000 0.0000

Calculated values
- E above lowest polymorph: 0.000 eV per atom



[8]
A plane-wave DFT calculation with PBE was carried out for PmIn3Pd2 after structural relaxation.

a = 5.9184 Å, b = 6.6989 Å, c = 6.6989 Å
α = 95.18°, β = 90.00°, γ = 90.00°
Positions (direct):
Pd 0.0000 0.2367 0.7633
Pd 0.0000 0.7633 0.2367
Pd 0.5000 0.7633 0.2367
Pd 0.5000 0.2367 0.7633
In 0.2499 0.8956 0.5739
In 0.7500 0.9636 0.9636
In 0.7501 0.4261 0.1044
In 0.2499 0.5739 0.8956
In 0.2500 0.0365 0.0365
In 0.7501 0.1044 0.4261
Pm 0.2501 0.3895 0.3895
Pm 0.7499 0.6105 0.6105

Calculated values
- E above lowest polymorph: 0.000 eV per atom



[9]
A plane-wave DFT calculation with PBE was carried out for PmInPd after structural relaxation.

a = 3.8929 Å, b = 7.9017 Å, c = 13.7086 Å
α = 90.00°, β = 90.00°, γ = 90.00°
Positions (direct):
In 0.5000 0.4294 0.1159
In 0.5000 0.1963 0.7500
In 0.5000 0.8037 0.2500
In 0.5000 0.5706 0.6159
In 0.5000 0.5706 0.8841
In 0.5000 0.4294 0.3841
Pd 0.5000 0.0620 0.0969
Pd 0.5000 0.9380 0.9031
Pd 0.0000 0.5464 0.2500
Pd 0.0000 0.4536 0.7500
Pd 0.5000 0.9380 0.5969
Pd 0.5000 0.0620 0.4031
Pm 0.0000 0.2306 0.5466
Pm 0.0000 0.8505 0.7500
Pm 0.0000 0.2306 0.9534
Pm 0.0000 0.7694 0.0466
Pm 0.0000 0.1495 0.2500
Pm 0.0000 0.7694 0.4534

Calculated values
- E above lowest polymorph: 0.002 eV per atom



[10]
A plane-wave DFT calculation with PBE was carried out for Pm2In3Pd5 after structural relaxation.

a = 5.9538 Å, b = 9.0212 Å, c = 9.0212 Å
α = 86.15°, β = 70.73°, γ = 70.73°
Positions (direct):
Pm 0.3777 0.8664 0.3782
Pm 0.6223 0.1336 0.6218
Pm 0.8777 0.3782 0.8664
Pm 0.1223 0.6218 0.1336
Pd 0.2500 0.5000 0.5000
Pd 0.1164 0.0439 0.7233
Pd 0.3836 0.2767 0.9561
Pd 0.9826 0.7674 0.7674
Pd 0.0174 0.2326 0.2326
Pd 0.6164 0.7233 0.0439
Pd 0.8836 0.9561 0.2767
Pd 0.7500 0.5000 0.5000
Pd 0.5174 0.2326 0.2326
Pd 0.4826 0.7674 0.7674
In 0.6333 0.4927 0.2407
In 0.1333 0.2407 0.4927
In 0.3667 0.5073 0.7593
In 0.2500 0.0000 0.0000
In 0.8667 0.7593 0.5073
In 0.7500 0.0000 0.0000



[11]
A plane-wave DFT calculation with PBE was carried out for PmInPd after structural relaxation.

a = 3.6567 Å, b = 4.7536 Å, c = 4.7536 Å
α = 120.00°, β = 90.00°, γ = 90.00°
Positions (direct):
Pm 0.6667 0.6667 0.3333
In 0.1667 0.3333 0.6667
Pd 0.1667 0.0000 0.0000

Calculated values
- E above lowest polymorph: 0.091 eV per atom



[12]
A plane-wave DFT calculation with PBE was carried out for Pm3In4Pd2 after structural relaxation.

a = 4.6100 Å, b = 6.2237 Å, c = 8.9268 Å
α = 104.58°, β = 90.00°, γ = 111.74°
Positions (direct):
Pm 0.3733 0.7466 0.6206
Pm 0.0000 0.0000 0.0000
Pm 0.6267 0.2534 0.3794
Pd 0.7188 0.4376 0.7441
Pd 0.2812 0.5624 0.2559
In 0.0845 0.1689 0.6621
In 0.6922 0.3844 0.0543
In 0.9155 0.8311 0.3379
In 0.3078 0.6156 0.9457

Calculated values
- E above lowest polymorph: 0.115 eV per atom



[13]
A plane-wave DFT calculation with PBE was carried out for Pm5InPd after structural relaxation.

a = 6.0432 Å, b = 6.0432 Å, c = 11.9289 Å
α = 78.92°, β = 78.92°, γ = 84.45°
Positions (direct):
Pm 0.9999 0.0001 0.7500
Pm 0.5626 0.9220 0.6291
Pm 0.4374 0.0780 0.3709
Pm 0.5194 0.2234 0.0609
Pm 0.0780 0.4374 0.8709
Pm 0.4806 0.7766 0.9391
Pm 0.7766 0.4806 0.4391
Pm 0.2234 0.5194 0.5609
Pm 0.9220 0.5626 0.1291
Pm 0.0001 0.9999 0.2500
In 0.6061 0.3939 0.7500
In 0.3939 0.6061 0.2500
Pd 0.0000 0.0000 0.0000
Pd 0.0000 0.0000 0.5000



[14]
A plane-wave DFT calculation with PBE was carried out for PmInPd6 after structural relaxation.

a = 5.2406 Å, b = 5.2406 Å, c = 5.2406 Å
α = 90.00°, β = 90.00°, γ = 90.00°
Positions (direct):
Pd 0.5000 0.7535 0.0000
Pd 0.0000 0.5000 0.2465
Pd 0.5000 0.2465 0.0000
Pd 0.2465 0.0000 0.5000
Pd 0.0000 0.5000 0.7535
Pd 0.7535 0.0000 0.5000
Pm 0.5000 0.5000 0.5000
In 0.0000 0.0000 0.0000

Calculated values
- E above lowest polymorph: 0.192 eV per atom



[15]
A plane-wave DFT calculation with PBE was carried out for Pm12InPd6 after structural relaxation.

a = 8.8766 Å, b = 8.8766 Å, c = 8.8766 Å
α = 109.47°, β = 109.47°, γ = 109.47°
Positions (direct):
Pm 0.7009 0.8847 0.1838
Pm 0.1838 0.2991 0.4829
Pm 0.2991 0.1153 0.8162
Pm 0.1838 0.7009 0.8847
Pm 0.8162 0.2991 0.1153
Pm 0.7009 0.5171 0.8162
Pm 0.2991 0.4829 0.1838
Pm 0.5171 0.8162 0.7009
Pm 0.8162 0.7009 0.5171
Pm 0.4829 0.1838 0.2991
Pm 0.8847 0.1838 0.7009
Pm 0.1153 0.8162 0.2991
Pd 0.5000 0.8661 0.3661
Pd 0.5000 0.1339 0.6339
Pd 0.6339 0.5000 0.1339
Pd 0.8661 0.3661 0.5000
Pd 0.1339 0.6339 0.5000
Pd 0.3661 0.5000 0.8661
In 0.0000 0.0000 0.0000

Calculated values
- E above lowest polymorph: 0.000 eV per atom



[16]
A plane-wave DFT calculation with PBE was carried out for PmIn3Pd after structural relaxation.

a = 4.4920 Å, b = 9.0592 Å, c = 11.7590 Å
α = 90.00°, β = 90.00°, γ = 90.00°
Positions (direct):
In 0.7500 0.9342 0.5874
In 0.2500 0.0658 0.4126
In 0.7500 0.6404 0.7106
In 0.2500 0.3596 0.2894
In 0.2500 0.8932 0.8118
In 0.2500 0.8596 0.2106
In 0.7500 0.6068 0.3118
In 0.2500 0.5658 0.0874
In 0.2500 0.3932 0.6882
In 0.7500 0.1068 0.1882
In 0.7500 0.1404 0.7894
In 0.7500 0.4342 0.9126
Pd 0.7500 0.8992 0.3550
Pd 0.2500 0.6008 0.8550
Pd 0.7500 0.3992 0.1450
Pd 0.2500 0.1008 0.6450
Pm 0.2500 0.1935 0.9902
Pm 0.7500 0.3065 0.4902
Pm 0.2500 0.6935 0.5098
Pm 0.7500 0.8065 0.0098

Calculated values
- E above lowest polymorph: 0.000 eV per atom



[17]
A plane-wave DFT calculation with PBE was carried out for Pm2InPd5 after structural relaxation.

a = 6.4538 Å, b = 6.4538 Å, c = 5.9470 Å
α = 122.86°, β = 122.86°, γ = 90.00°
Positions (direct):
Pd 0.7525 0.7525 0.5051
Pd 0.2619 0.6985 0.9604
Pd 0.6985 0.2619 0.9604
Pd 0.2619 0.2619 0.9604
Pd 0.6985 0.6985 0.9604
In 0.1218 0.1218 0.2436
Pm 0.2409 0.7409 0.4818
Pm 0.7409 0.2409 0.4818



[18]
A plane-wave DFT calculation with PBE was carried out for PmIn2Pd after structural relaxation.

a = 4.6101 Å, b = 5.8526 Å, c = 7.4741 Å
α = 90.00°, β = 90.00°, γ = 113.19°
Positions (direct):
Pd 0.2067 0.4135 0.2500
Pd 0.7933 0.5865 0.7500
Pm 0.9234 0.8468 0.2500
Pm 0.0766 0.1532 0.7500
In 0.6374 0.2747 0.0495
In 0.6374 0.2747 0.4505
In 0.3626 0.7253 0.9505
In 0.3626 0.7253 0.5495

Calculated values
- E above lowest polymorph: 0.000 eV per atom



[19]
A plane-wave DFT calculation with PBE was carried out for Pm2In2Pd7 after structural relaxation.

a = 5.8621 Å, b = 7.1960 Å, c = 5.8621 Å
α = 90.01°, β = 101.76°, γ = 89.99°
Positions (direct):
In 0.1885 0.5000 0.1885
In 0.8115 0.5000 0.8115
Pd 0.5000 0.2980 0.9998
Pd 0.5002 0.6996 0.4998
Pd 0.0000 0.0000 0.0000
Pd 0.5000 0.7020 0.0002
Pd 0.0002 0.2980 0.5000
Pd 0.4998 0.3004 0.5002
Pd 0.9998 0.7020 0.5000
Pm 0.2993 0.9998 0.7007
Pm 0.7007 0.0002 0.2993



[20]
A plane-wave DFT calculation with PBE was carried out for PmIn6Pd4 after structural relaxation.

a = 4.3247 Å, b = 7.8937 Å, c = 7.8937 Å
α = 120.00°, β = 90.00°, γ = 90.00°
Positions (direct):
Pd 0.5000 0.4081 0.2041
Pd 0.0000 0.3333 0.6667
Pd 0.5000 0.7959 0.2041
Pd 0.5000 0.7959 0.5919
In 0.5000 0.1935 0.3870
In 0.0000 0.5344 0.0687
In 0.5000 0.1935 0.8065
In 0.0000 0.9313 0.4656
In 0.0000 0.5344 0.4656
In 0.5000 0.6130 0.8065
Pm 0.0000 0.0000 0.0000



[21]
A plane-wave DFT calculation with PBE was carried out for Pm2In5Pd4 after structural relaxation.

a = 5.8945 Å, b = 6.8073 Å, c = 7.9022 Å
α = 80.71°, β = 68.10°, γ = 64.34°
Positions (direct):
In 0.0000 0.5000 0.0000
In 0.5000 0.5000 0.0000
In 0.5000 0.0000 0.0000
In 0.7500 0.5000 0.5000
In 0.2500 0.5000 0.5000
Pm 0.8350 0.0000 0.3299
Pm 0.1650 0.0000 0.6701
Pd 0.5337 0.2293 0.7033
Pd 0.2370 0.2293 0.2967
Pd 0.7630 0.7707 0.7033
Pd 0.4663 0.7707 0.2967



| no. | E_tot (eV per atom) | formation energy from the elements (meV/atom) |
| --- | --- | --- |
| 1 | -5.182 | -529 |
| 2 | -5.228 | -522 |
| 3 | -4.701 | -567 |
| 4 | -5.124 | -600 |
| 5 | -4.307 | -452 |
| 6 | -4.361 | -506 |
| 7 | -5.010 | -362 |
| 8 | -4.440 | -548 |
| 9 | -4.993 | -766 |
| 10 | -4.952 | -584 |
| 11 | -4.904 | -677 |
| 12 | -4.484 | -530 |
| 13 | -4.769 | -242 |
| 14 | -5.250 | -419 |
| 15 | -5.341 | -557 |
| 16 | -4.161 | -529 |
| 17 | -5.470 | -694 |
| 18 | -4.509 | -654 |
| 19 | -4.917 | -251 |
| 20 | -4.323 | -509 |
| 21 | -4.467 | -470 |